a:
A plane-wave DFT calculation with PBE was carried out for a relaxed RePdPt crystal.

Results
N(E_F), states/eV per cell: 7.55

Cell lengths 4.839, 8.221, 4.841 Å; angles 90.00, 109.34, 90.00 degrees
Space group C2 (No. 5)
Unique sites:
Re (0.221, 0.000, 0.227) (multiplicity 4)
Pd (0.240, 0.664, 0.256) (multiplicity 4)
Pt (0.240, 0.338, 0.254) (multiplicity 4)

***

b:
A plane-wave DFT calculation with PBE was carried out for a relaxed RePdPt crystal.

Results
N(E_F), states/eV per cell: 4.22

Cell lengths 2.7808, 2.7808, 6.8118 Å; angles 90.00, 90.00, 120.00 degrees
Space group P3m1 (No. 156)
Unique sites:
Re (0.0000, 0.0000, 0.0000) (multiplicity 1)
Pd (0.6667, 0.3333, 0.6744) (multiplicity 1)
Pt (0.3333, 0.6667, 0.3235) (multiplicity 1)

***

c:
A plane-wave DFT calculation with PBE was carried out for a relaxed RePdPt crystal.

Results
N(E_F), states/eV per cell: 4.90

Cell lengths 2.772, 2.772, 11.921 Å; angles 90.00, 90.00, 90.00 degrees
Space group P4/nmm (No. 129, origin choice 2)
Unique sites:
Re (0.250, 0.250, 0.077) (multiplicity 2)
Pd (0.250, 0.250, 0.415) (multiplicity 2)
Pt (0.250, 0.250, 0.757) (multiplicity 2)

***

d:
A plane-wave DFT calculation with PBE was carried out for a relaxed RePdPt crystal.

Results
N(E_F), states/eV per cell: 6.49

Cell lengths 4.818, 2.776, 6.810 Å; angles 90.00, 90.14, 90.00 degrees
Space group P2_1/m (No. 11)
Unique sites:
Re (0.250, 0.250, 0.004) (multiplicity 2)
Pd (0.083, 0.750, 0.674) (multiplicity 2)
Pt (0.420, 0.750, 0.324) (multiplicity 2)

***

Stability ranking, top entry: c; the second entry is 0.075 eV/atom less favorable.

***

a:
A plane-wave DFT calculation with PBE was carried out for a relaxed RePdPt crystal.

Results
N(E_F), states/eV per cell: 9.54

Cell lengths 8.898, 3.858, 5.603 Å; angles 90.00, 108.05, 90.00 degrees
Space group Cm (No. 8)
Unique sites:
Re (0.000, 0.000, 0.000) (multiplicity 2)
Re (0.140, 0.500, 0.840) (multiplicity 2)
Pd (0.316, 0.000, 0.165) (multiplicity 2)
Pd (0.492, 0.500, 0.507) (multiplicity 2)
Pt (0.145, 0.500, 0.333) (multiplicity 2)
Pt (0.324, 0.000, 0.684) (multiplicity 2)

***

b:
A plane-wave DFT calculation with PBE was carried out for a relaxed RePdPt crystal.

Results
N(E_F), states/eV per cell: 2.17

Cell lengths 3.6446, 3.6446, 4.7317 Å; angles 90.00, 90.00, 120.00 degrees
Space group P3m1 (No. 156)
Unique sites:
Re (0.0000, 0.0000, 0.0000) (multiplicity 1)
Pd (0.3333, 0.6667, 0.6883) (multiplicity 1)
Pt (0.6667, 0.3333, 0.2808) (multiplicity 1)

***

Stability ranking, top entry: a; the second entry is 0.815 eV/atom less favorable.

***

a:
A plane-wave DFT calculation with PBE was carried out for a relaxed RePdPt2 crystal.

Results
N(E_F), states/eV per cell: 3.40

Cell lengths 2.773, 2.773, 7.949 Å; angles 90.00, 90.00, 90.00 degrees
Space group P4/mmm (No. 123)
Unique sites:
Re (0.000, 0.000, 0.000) (multiplicity 1)
Pd (0.000, 0.000, 0.500) (multiplicity 1)
Pt (0.500, 0.500, 0.239) (multiplicity 2)

***

b:
A plane-wave DFT calculation with PBE was carried out for a relaxed RePdPt2 crystal.

Results
N(E_F), states/eV per cell: 14.71

Cell lengths 3.8607, 3.8607, 16.7667 Å; angles 90.00, 90.00, 120.00 degrees
Space group R3m (No. 160, hexagonal axes)
Unique sites:
Re (0.0000, 0.0000, 0.0000) (multiplicity 3)
Pd (0.0000, 0.0000, 0.1633) (multiplicity 3)
Pt (0.0000, 0.0000, 0.5877) (multiplicity 3)
Pt (0.0000, 0.0000, 0.7451) (multiplicity 3)

***

Stability ranking, top entry: a; the second entry is 0.664 eV/atom less favorable.